# 1
A geometry-optimized Cs3PH structure, computed with PBE.

a b c (Å): 11.035 8.265 9.974
angles (deg): 90.00 111.23 90.00
Fractional coordinates of all 20 atoms:
Cs1 0.087 0.055 0.353
Cs2 0.087 0.445 0.853
Cs3 0.233 0.629 0.561
Cs4 0.233 0.871 0.061
Cs5 0.395 0.189 0.747
Cs6 0.395 0.311 0.247
Cs7 0.605 0.689 0.753
Cs8 0.605 0.811 0.253
Cs9 0.767 0.129 0.939
Cs10 0.767 0.371 0.439
Cs11 0.913 0.555 0.147
Cs12 0.913 0.945 0.647
P1 0.405 0.563 0.950
P2 0.405 0.937 0.450
P3 0.595 0.063 0.550
P4 0.595 0.437 0.050
H1 0.057 0.242 0.083
H2 0.057 0.258 0.583
H3 0.943 0.742 0.417
H4 0.943 0.758 0.917

Computed properties:
- raw total energy (Ha/atom) = -0.0892
- energy above the lowest structure with this stoichiometry (eV per atom) = 0.000
- N(E_F) (states/eV/f.u.) = 0.455


# 2
A geometry-optimized YHfTa3 structure, computed with PBE.

a b c (Å): 4.983 4.983 4.983
angles (deg): 90.00 90.00 90.00
Fractional coordinates of all 5 atoms:
Y1 0.000 0.000 0.000
Hf1 0.500 0.500 0.500
Ta1 0.000 0.500 0.500
Ta2 0.500 0.000 0.500
Ta3 0.500 0.500 0.000

Computed properties:
- raw total energy (Ha/atom) = -0.3304
- energy above the lowest structure with this stoichiometry (eV per atom) = 0.000
- N(E_F) (states/eV/f.u.) = 6.179
- formation energy from the elements (eV per atom) = 1.404


# 3
A geometry-optimized Ca3TaMo structure, computed with PBE.

a b c (Å): 5.312 5.312 5.312
angles (deg): 90.00 90.00 90.00
Fractional coordinates of all 5 atoms:
Ca1 0.000 0.000 0.500
Ca2 0.000 0.500 0.000
Ca3 0.500 0.000 0.000
Ta1 0.500 0.500 0.500
Mo1 0.000 0.000 0.000

Computed properties:
- raw total energy (Ha/atom) = -0.1476
- energy above the lowest structure with this stoichiometry (eV per atom) = 0.000
- N(E_F) (states/eV/f.u.) = 9.509
- formation energy from the elements (eV per atom) = 1.722


# 4
A geometry-optimized Pm2DyTe5 structure, computed with PBE.

a b c (Å): 8.226 8.226 13.640
angles (deg): 90.00 90.00 135.40
Fractional coordinates of all 16 atoms:
Pm1 0.160 0.840 0.563
Pm2 0.160 0.840 0.937
Pm3 0.840 0.160 0.063
Pm4 0.840 0.160 0.437
Dy1 0.201 0.799 0.250
Dy2 0.799 0.201 0.750
Te1 0.035 0.965 0.125
Te2 0.035 0.965 0.375
Te3 0.280 0.720 0.750
Te4 0.326 0.674 0.075
Te5 0.326 0.674 0.425
Te6 0.674 0.326 0.575
Te7 0.674 0.326 0.925
Te8 0.720 0.280 0.250
Te9 0.965 0.035 0.625
Te10 0.965 0.035 0.875

Computed properties:
- raw formation energy (kJ/mol of formula units) = -944
- raw total energy (Ha/atom) = -0.1819
- N(E_F) (states/eV/f.u.) = 3.914


# 5
A geometry-optimized ZrCd2Pd2 structure, computed with PBE.

a b c (Å): 4.588 4.588 5.629
angles (deg): 90.00 90.00 120.00
Fractional coordinates of all 5 atoms:
Zr1 0.000 0.000 0.000
Cd1 0.333 0.667 0.367
Cd2 0.667 0.333 0.633
Pd1 0.333 0.667 0.865
Pd2 0.667 0.333 0.135

Computed properties:
- raw total energy (Ha/atom) = -0.1668
- energy above the lowest structure with this stoichiometry (eV per atom) = 0.000
- N(E_F) (states/eV/f.u.) = 3.337
- formation energy from the elements (eV per atom) = -0.386


# 6
A geometry-optimized SrBe4Ru structure, computed with PBE.

a b c (Å): 4.793 4.793 4.793
angles (deg): 60.00 60.00 60.00
Fractional coordinates of all 6 atoms:
Sr1 0.000 0.000 0.000
Be1 0.140 0.620 0.620
Be2 0.620 0.140 0.620
Be3 0.620 0.620 0.140
Be4 0.620 0.620 0.620
Ru1 0.250 0.250 0.250

Computed properties:
- raw total energy (Ha/atom) = -0.1452
- N(E_F) (states/eV/f.u.) = 6.667
- formation energy from the elements (eV per atom) = 0.360


# 7
A geometry-optimized Pr3Dy2In3 structure, computed with PBE.

a b c (Å): 11.124 11.124 11.124
angles (deg): 156.98 153.44 35.42
Fractional coordinates of all 8 atoms:
Pr1 0.000 0.000 0.000
Pr2 0.379 0.879 0.500
Pr3 0.621 0.121 0.500
Dy1 0.237 0.237 0.000
Dy2 0.763 0.763 0.000
In1 0.129 0.629 0.500
In2 0.500 0.500 0.000
In3 0.871 0.371 0.500

Computed properties:
- raw total energy (Ha/atom) = -0.1588
- energy above the lowest structure with this stoichiometry (eV per atom) = 0.000
- N(E_F) (states/eV/f.u.) = 8.836
- formation energy from the elements (eV per atom) = -0.353


# 8
A geometry-optimized TmSeBr structure, computed with PBE.

a b c (Å): 4.075 4.075 6.911
angles (deg): 90.00 90.00 120.00
Fractional coordinates of all 3 atoms:
Tm1 0.000 0.000 0.000
Se1 0.333 0.667 0.799
Br1 0.667 0.333 0.257

Computed properties:
- raw formation energy (kJ/mol of formula units) = -526
- raw total energy (Ha/atom) = -0.1848
- N(E_F) (states/eV/f.u.) = 0.000